(1)
DFT (PBE) results for CsCuAsSe2 after structural relaxation.

Output
The raw total energy comes out at -3.30 eV/atom. As for the excess energy over the best structure of this formula in the dataset: 0.272 eV/atom. The formation energy from raw total energies comes out at 0.0113 eV/atom.

a = 5.235 Å, b = 5.235 Å, c = 4.737 Å
α = 90.00°, β = 90.00°, γ = 90.00°
Atoms (fractional coordinates):
Cu1 0.000 0.000 0.000
Se1 0.500 0.000 0.000
Se2 0.000 0.500 0.000
As1 0.000 0.000 0.500
Cs1 0.500 0.500 0.500

***

(2)
DFT (PBE) results for OsRu3 after structural relaxation.

Output
The calculation puts the formation energy at 7.8 meV/atom. The raw total energy comes out at -9.76 eV/atom.

a = 2.741 Å, b = 2.741 Å, c = 8.602 Å
α = 90.00°, β = 90.00°, γ = 120.00°
Atoms (fractional coordinates):
Ru1 0.333 0.667 0.250
Ru2 0.000 0.000 0.500
Ru3 0.333 0.667 0.750
Os1 0.000 0.000 0.000

***

(3)
DFT (PBE) results for RbZrTiN3 after structural relaxation.

Output
The raw total energy comes out at -8.12 eV/atom. The formation energy from raw total energies comes out at -1.0579 eV/atom.

a = 3.360 Å, b = 7.784 Å, c = 9.411 Å
α = 101.97°, β = 90.00°, γ = 90.00°
Atoms (fractional coordinates):
Rb1 0.750 0.837 0.798
Rb2 0.250 0.163 0.202
N1 0.750 0.428 0.099
N2 0.250 0.866 0.517
N3 0.750 0.805 0.210
N4 0.250 0.572 0.901
N5 0.750 0.134 0.483
N6 0.250 0.195 0.790
Ti1 0.250 0.123 0.589
Ti2 0.750 0.877 0.411
Zr1 0.750 0.380 0.878
Zr2 0.250 0.620 0.122

***

Repeat the first record exactly.
DFT (PBE) results for CsCuAsSe2 after structural relaxation.

Output
The raw total energy comes out at -3.30 eV/atom. As for the excess energy over the best structure of this formula in the dataset: 0.272 eV/atom. The formation energy from raw total energies comes out at 0.0113 eV/atom.

a = 5.235 Å, b = 5.235 Å, c = 4.737 Å
α = 90.00°, β = 90.00°, γ = 90.00°
Atoms (fractional coordinates):
Cu1 0.000 0.000 0.000
Se1 0.500 0.000 0.000
Se2 0.000 0.500 0.000
As1 0.000 0.000 0.500
Cs1 0.500 0.500 0.500